## Mn2CuNi (PBE)

Data for a relaxed Mn2CuNi crystal.

The structure belongs to space group F-43m (No. 216); the cell edges are 5.835, 5.835 and 5.835 Å and the angles 90.00°, 90.00° and 90.00°. The asymmetric unit holds Mn at (0.000, 0.000, 0.000), Mn at (0.250, 0.250, 0.250), Cu at (0.250, 0.250, 0.750) and Ni at (0.000, 0.000, 0.500).

The calculation puts the total energy at -27.5 eV per formula unit. The mass density is 7.76 g/cm³. Its density of states at the Fermi level is 10.99 states/eV/cell.